# 1
Computed, not measured: an optimized crystal structure of CePmNdPb at the PBE-GGA level of DFT.

Cell: 7.8597 7.8597 7.8597 Å, 90.00 90.00 90.00°
With the nearest neighbours (Å) after each atom.
Space group F-43m (No. 216)
Symmetry-distinct sites (fractional):
1 Ce 0.0000 0.0000 0.0000  4 Nd 3.40, 4 Pm 3.40
2 Pm 0.2500 0.2500 0.7500  4 Ce 3.40, 4 Pb 3.40
3 Nd 0.2500 0.2500 0.2500  4 Pb 3.40, 4 Ce 3.40
4 Pb 0.0000 0.0000 0.5000  4 Pm 3.40, 4 Nd 3.40

Summary:
- E_form (meV per atom) = -96



# 2
Computed, not measured: an optimized crystal structure of MnNbGeHI at the PBE-GGA level of DFT.

Cell: 5.8304 3.7948 8.4173 Å, 90.00 105.25 90.00°
With the nearest neighbours (Å) after each atom.
Space group Cm (No. 8)
Symmetry-distinct sites (fractional):
1 Mn 0.0000 0.0000 0.0000  1 H 1.84
2 Nb 0.3083 0.0000 0.7964  3 H 2.07-2.25
3 Ge 0.4123 0.0000 0.1475  3 Mn 2.40
4 H 0.2069 0.5000 0.8497  1 Mn 1.84
5 I 0.3750 0.5000 0.5377  3 Nb 2.87-2.99, 1 H 3.03

Summary:
- ΔE to the lowest computed polymorph (meV/atom) = 121



no.,energy (eV/atom)
1,-4.89
2,-5.64